Computed, not measured: a relaxed structure of Th2BAsRh6 at the PBE level of DFT.

Cell: 4.5048 4.5048 8.7812 Å, 90.00 90.00 90.00°
Sites, in units of the cell vectors:
Rh: 0.5000 0.0000 0.5000
Rh: 0.5000 0.5000 0.2742
Rh: 0.0000 0.5000 0.0000
Rh: 0.0000 0.5000 0.5000
Rh: 0.5000 0.5000 0.7258
Rh: 0.5000 0.0000 0.0000
Th: 0.0000 0.0000 0.7400
Th: 0.0000 0.0000 0.2600
As: 0.5000 0.5000 0.0000
B: 0.5000 0.5000 0.5000

Output
**Electronic total energy**: -76.1 eV/cell
**Crystal system**: tetragonal
**Size of the total moment**: 0.00 μB per cell
**D(E_F)**: 8.70 states/eV/f.u.